No. 1
A plane-wave DFT calculation with PBE with a Hubbard U was carried out for a geometry-optimized Ca3V5O12 structure.

Total DFT energy (no corrections): -7.5066 eV/atom
Fermi-level density of states: 54.8 states/eV per cell
Calculated density: 3760 kg/m³

Structure (CIF):
```
data_Ca3V5O12
_chemical_formula_sum 'Ca24 V40 O96'
_symmetry_space_group_name_H-M 'I a -3 d'
_symmetry_Int_Tables_number 230
_symmetry_space_group_name_Hall '-I 4bd 2c 3'
_cell_length_a 12.606
_cell_length_b 12.606
_cell_length_c 12.606
_cell_angle_alpha 90.00
_cell_angle_beta 90.00
_cell_angle_gamma 90.00
loop_
_atom_site_label
_atom_site_fract_x
_atom_site_fract_y
_atom_site_fract_z
Ca1 0.000 0.250 0.125
V1 0.000 0.000 0.000
V2 0.000 0.250 0.375
O1 0.031 0.050 0.651
```

---

No. 2
A plane-wave DFT calculation with PBE with a Hubbard U was carried out for a geometry-optimized CaV2O2 structure.

Total DFT energy (no corrections): -6.2033 eV/atom
Fermi-level density of states: 19.5 states/eV per cell
Calculated density: 3105 kg/m³

Structure (CIF):
```
data_CaV2O2
_chemical_formula_sum 'Ca8 V16 O16'
_symmetry_space_group_name_H-M 'I 41/a m d'
_symmetry_Int_Tables_number 141
_cell_length_a 8.642
_cell_length_b 8.642
_cell_length_c 9.966
_cell_angle_alpha 90.00
_cell_angle_beta 90.00
_cell_angle_gamma 90.00
loop_
_symmetry_equiv_pos_as_xyz
'x,y,z'
'-x,-y,-z'
'-y+1/4,x+3/4,z+1/4'
'y+1/4,-x+3/4,-z+1/4'
'-x+1/2,-y,z+1/2'
'x+1/2,y,-z+1/2'
'y+1/4,-x+1/4,z+3/4'
'-y+1/4,x+1/4,-z+3/4'
'x,-y,-z'
'-x,y,z'
'-y+1/4,-x+1/4,-z+3/4'
'y+1/4,x+1/4,z+3/4'
'-x+1/2,y,-z+1/2'
'x+1/2,-y,z+1/2'
'y+1/4,x+3/4,-z+1/4'
'-y+1/4,-x+3/4,z+1/4'
'x+1/2,y+1/2,z+1/2'
'-x+1/2,-y+1/2,-z+1/2'
'-y+3/4,x+1/4,z+3/4'
'y+3/4,-x+1/4,-z+3/4'
'-x,-y+1/2,z'
'x,y+1/2,-z'
'y+3/4,-x+3/4,z+1/4'
'-y+3/4,x+3/4,-z+1/4'
'x+1/2,-y+1/2,-z+1/2'
'-x+1/2,y+1/2,z+1/2'
'-y+3/4,-x+3/4,-z+1/4'
'y+3/4,x+3/4,z+1/4'
'-x,y+1/2,-z'
'x,-y+1/2,z'
'y+3/4,x+1/4,-z+3/4'
'-y+3/4,-x+1/4,z+3/4'
loop_
_atom_site_label
_atom_site_fract_x
_atom_site_fract_y
_atom_site_fract_z
Ca1 0.000 0.000 0.000
V1 0.000 0.038 0.364
O1 0.000 0.087 0.772
```

---

No. 3
A plane-wave DFT calculation with PBE with a Hubbard U was carried out for a geometry-optimized CaV3O9 structure.

Total DFT energy (no corrections): -7.2040 eV/atom
Fermi-level density of states: 14.8 states/eV per cell
Calculated density: 2593 kg/m³

Structure (CIF):
```
data_CaV3O9
_chemical_formula_sum 'Ca4 V12 O36'
_symmetry_space_group_name_H-M 'C 2 2 21'
_symmetry_Int_Tables_number 20
_symmetry_space_group_name_Hall 'C 2c 2'
_cell_length_a 9.000
_cell_length_b 12.174
_cell_length_c 7.877
_cell_angle_alpha 90.00
_cell_angle_beta 90.00
_cell_angle_gamma 90.00
loop_
_atom_site_label
_atom_site_fract_x
_atom_site_fract_y
_atom_site_fract_z
Ca1 0.106 0.000 0.000
V1 0.026 0.317 0.470
V2 0.248 0.500 0.000
O1 0.000 0.346 0.250
O2 0.010 0.180 0.503
O3 0.128 0.388 0.935
O4 0.143 0.022 0.671
O5 0.191 0.369 0.531
```

---

No. 4
A plane-wave DFT calculation with PBE with a Hubbard U was carried out for a geometry-optimized CaV4O8 structure.

Total DFT energy (no corrections): -7.6426 eV/atom
Fermi-level density of states: 8.8 states/eV per cell
Calculated density: 3593 kg/m³

Structure (CIF):
```
data_CaV4O8
_chemical_formula_sum 'Ca3 V12 O24'
_symmetry_space_group_name_H-M 'R -3 m'
_symmetry_Int_Tables_number 166
_symmetry_space_group_name_Hall '-R 3 2"'
_cell_length_a 5.9271
_cell_length_b 5.9271
_cell_length_c 16.9442
_cell_angle_alpha 90.00
_cell_angle_beta 90.00
_cell_angle_gamma 120.00
loop_
_atom_site_label
_atom_site_fract_x
_atom_site_fract_y
_atom_site_fract_z
Ca1 0.0000 0.0000 0.0000
V1 0.0000 0.0000 0.5000
V2 0.0000 0.5000 0.5000
O1 0.0000 0.0000 0.2264
O2 0.0080 0.5040 0.7701
```

---

No. 5
A plane-wave DFT calculation with PBE with a Hubbard U was carried out for a geometry-optimized CaV3O7 structure.

Total DFT energy (no corrections): -7.6199 eV/atom
Fermi-level density of states: 0.0 states/eV per cell
Calculated density: 3307 kg/m³

Structure (CIF):
```
data_CaV3O7
_chemical_formula_sum 'Ca4 V12 O28'
_symmetry_space_group_name_H-M 'P n m a'
_symmetry_Int_Tables_number 62
_symmetry_space_group_name_Hall '-P 2ac 2n'
_cell_length_a 10.882
_cell_length_b 10.457
_cell_length_c 5.381
_cell_angle_alpha 90.00
_cell_angle_beta 90.00
_cell_angle_gamma 90.00
loop_
_atom_site_label
_atom_site_fract_x
_atom_site_fract_y
_atom_site_fract_z
Ca1 0.079 0.250 0.180
V1 0.188 0.524 0.698
V2 0.216 0.750 0.190
O1 0.045 0.577 0.717
O2 0.064 0.750 0.175
O3 0.217 0.119 0.457
O4 0.222 0.119 0.933
```

---

No. 6
A plane-wave DFT calculation with PBE with a Hubbard U was carried out for a geometry-optimized Ca5VO6 structure.

Total DFT energy (no corrections): -6.6667 eV/atom
Fermi-level density of states: 0.0 states/eV per cell
Calculated density: 3566 kg/m³

Structure (CIF):
```
data_Ca5VO6
_chemical_formula_sum 'Ca10 V2 O12'
_symmetry_space_group_name_H-M 'C 1 2/m 1'
_symmetry_Int_Tables_number 12
_symmetry_space_group_name_Hall '-C 2y'
_cell_length_a 5.834
_cell_length_b 10.098
_cell_length_c 5.827
_cell_angle_alpha 90.00
_cell_angle_beta 109.53
_cell_angle_gamma 90.00
loop_
_atom_site_label
_atom_site_fract_x
_atom_site_fract_y
_atom_site_fract_z
Ca1 0.000 0.000 0.000
Ca2 0.000 0.167 0.500
Ca3 0.000 0.336 0.000
V1 0.000 0.500 0.500
O1 0.242 0.500 0.256
O2 0.243 0.338 0.745
```